Entry 1:
# VTeN2F

Crystalline VTeN2F at its relaxed geometry (PBE with a Hubbard U, Alexandria via LeMat-Bulk).

Values from the calculation:
Space group: No. 123

a b c (Å): 4.152 4.152 4.177
angles (deg): 90.00 90.00 90.00
Fractional coordinates of all 5 atoms:
N 0.000 0.500 0.000
N 0.500 0.000 0.000
F 0.000 0.000 0.500
Te 0.000 0.000 0.000
V 0.500 0.500 0.500

---

Entry 2:
# VTe2NF

Crystalline VTe2NF at its relaxed geometry (PBE with a Hubbard U, Alexandria via LeMat-Bulk).

Values from the calculation:
Space group: No. 123

a b c (Å): 5.292 5.292 3.584
angles (deg): 90.00 90.00 90.00
Fractional coordinates of all 5 atoms:
N 0.000 0.000 0.500
F 0.500 0.500 0.500
Te 0.000 0.500 0.000
Te 0.500 0.000 0.000
V 0.000 0.000 0.000

---

Entry 3:
# VTeN2F

Crystalline VTeN2F at its relaxed geometry (PBE with a Hubbard U, Alexandria via LeMat-Bulk).

Values from the calculation:
Space group: No. 123

a b c (Å): 4.271 4.271 4.095
angles (deg): 90.00 90.00 90.00
Fractional coordinates of all 5 atoms:
N 0.000 0.500 0.000
N 0.500 0.000 0.000
F 0.000 0.000 0.000
Te 0.000 0.000 0.500
V 0.500 0.500 0.500

---

Entry 4:
# VTeN2F

Crystalline VTeN2F at its relaxed geometry (PBE with a Hubbard U, Alexandria via LeMat-Bulk).

Values from the calculation:
Space group: No. 123

a b c (Å): 3.708 3.708 5.649
angles (deg): 90.00 90.00 90.00
Fractional coordinates of all 5 atoms:
N 0.000 0.500 0.000
N 0.500 0.000 0.000
F 0.500 0.500 0.500
Te 0.000 0.000 0.500
V 0.000 0.000 0.000

---

So what do the calculations give for relative energy among the computed polymorphs? Going down the list: 491; 0; 1553; 176 meV/atom.
So what do the calculations give for spin magnetization? Going down the list: 2.93; 0.00; 0.19; 0.44 μB per formula unit.